Entry 1:
Computed, not measured: a geometry-optimized Zr2Al3Cu3 structure at the PBE level of DFT.

formation energy from the elements	-0.171	eV per atom
size of the total moment	0.00	Bohr magnetons per cell
excess energy over the best structure of this formula in the dataset	0.125	eV/atom
total DFT energy (no corrections)	-5.2471	eV/atom

POSCAR file:
```
Zr2Al3Cu3
1.0
-6.097 -3.695 2.743
3.281 -2.336 -6.490
3.345 -3.365 2.902
Zr Al Cu
4 6 6
Direct
0.667 0.333 0.500
0.667 0.333 0.000
0.333 0.667 0.000
0.333 0.667 0.500
0.000 0.702 0.250
0.702 0.702 0.750
0.000 0.298 0.750
0.702 0.000 0.250
0.298 0.298 0.250
0.298 0.000 0.750
0.348 0.000 0.250
0.348 0.348 0.750
0.652 0.000 0.750
0.000 0.652 0.750
0.652 0.652 0.250
0.000 0.348 0.250
```


Entry 2:
Computed, not measured: a geometry-optimized Zr2AlCu2 structure at the PBE level of DFT.

formation energy from the elements	-0.106	eV per atom
size of the total moment	0.00	Bohr magnetons per cell
total DFT energy (no corrections)	-5.9120	eV/atom

POSCAR file:
```
Zr2AlCu2
1.0
-0.883 2.422 -1.113
-5.316 -0.260 3.650
4.523 4.832 6.932
Zr Cu Al
4 4 2
Direct
0.000 0.358 0.198
0.000 0.858 0.302
0.000 0.142 0.698
0.000 0.642 0.802
0.500 0.179 0.435
0.500 0.679 0.065
0.500 0.821 0.565
0.500 0.321 0.935
0.000 0.000 0.000
0.000 0.500 0.500
```


Entry 3:
Computed, not measured: a geometry-optimized ZrAl2Cu4 structure at the PBE level of DFT.

formation energy from the elements	-0.268	eV per atom
size of the total moment	0.00	Bohr magnetons per cell
excess energy over the best structure of this formula in the dataset	0.000	eV/atom
total DFT energy (no corrections)	-4.8990	eV/atom

POSCAR file:
```
ZrAl2Cu4
1.0
-3.190 1.299 -2.316
-3.384 -3.819 2.519
-4.278 3.221 7.697
Cu Al Zr
8 4 2
Direct
0.250 0.184 0.799
0.750 0.854 0.452
0.250 0.146 0.548
0.750 0.395 0.650
0.250 0.506 0.914
0.750 0.494 0.086
0.250 0.605 0.350
0.750 0.816 0.201
0.750 0.328 0.395
0.250 0.672 0.605
0.250 0.802 0.050
0.750 0.198 0.950
0.250 0.154 0.233
0.750 0.846 0.767
```


Entry 4:
Computed, not measured: a geometry-optimized Zr2AlCu2 structure at the PBE level of DFT.

formation energy from the elements	0.157	eV per atom
size of the total moment	0.00	Bohr magnetons per cell
total DFT energy (no corrections)	-5.6489	eV/atom

POSCAR file:
```
Zr2AlCu2
1.0
5.002 0.000 0.000
0.000 5.002 0.000
0.000 0.000 7.702
Cu Al Zr
4 2 4
Direct
0.000 0.000 0.000
0.000 0.500 0.488
0.500 0.500 0.000
0.500 0.000 0.512
0.500 0.000 0.203
0.000 0.500 0.797
0.500 0.500 0.500
0.000 0.000 0.500
0.500 0.000 0.840
0.000 0.500 0.160
```


Entry 5:
Computed, not measured: a geometry-optimized Zr2AlCu structure at the PBE level of DFT.

formation energy from the elements	0.156	eV per atom
size of the total moment	0.00	Bohr magnetons per cell
total DFT energy (no corrections)	-6.0781	eV/atom

POSCAR file:
```
Zr2AlCu
1.0
-1.824 2.231 7.476
-5.520 -2.447 5.263
0.440 -3.705 7.091
Zr Al Cu
6 3 3
Direct
0.400 0.926 0.400
0.926 0.400 0.400
0.074 0.600 0.600
0.600 0.600 0.074
0.600 0.074 0.600
0.400 0.400 0.926
0.874 0.874 0.874
0.126 0.126 0.126
0.000 0.000 0.000
0.500 0.500 0.500
0.663 0.661 0.663
0.337 0.339 0.337
```


Entry 6:
Computed, not measured: a geometry-optimized Zr2AlCu structure at the PBE level of DFT.

formation energy from the elements	-0.058	eV per atom
size of the total moment	0.00	Bohr magnetons per cell
total DFT energy (no corrections)	-6.2914	eV/atom

POSCAR file:
```
Zr2AlCu
1.0
3.081 0.000 0.000
-1.540 2.668 0.000
0.000 0.000 9.300
Al Cu Zr
1 1 2
Direct
0.000 0.000 0.000
0.000 0.000 0.500
0.333 0.667 0.261
0.333 0.667 0.739
```


Entry 7:
Computed, not measured: a geometry-optimized Zr2Al3Cu3 structure at the PBE level of DFT.

formation energy from the elements	-0.041	eV per atom
size of the total moment	0.00	Bohr magnetons per cell
excess energy over the best structure of this formula in the dataset	0.255	eV/atom
total DFT energy (no corrections)	-5.1172	eV/atom

POSCAR file:
```
Zr2Al3Cu3
1.0
3.774 -6.537 0.000
3.774 6.537 0.000
0.000 0.000 2.716
Zr Al Cu
2 3 3
Direct
0.667 0.333 0.000
0.333 0.667 0.000
0.231 0.231 0.000
0.000 0.769 0.000
0.769 0.000 0.000
0.674 0.674 0.500
0.326 0.000 0.500
0.000 0.326 0.500
```


Entry 8:
Computed, not measured: a geometry-optimized ZrAl4Cu2 structure at the PBE level of DFT.

formation energy from the elements	-0.338	eV per atom
size of the total moment	0.00	Bohr magnetons per cell
excess energy over the best structure of this formula in the dataset	0.000	eV/atom
total DFT energy (no corrections)	-4.8677	eV/atom

POSCAR file:
```
ZrAl4Cu2
1.0
4.084 0.000 0.000
0.000 6.460 0.005
0.000 2.956 8.321
Al Cu Zr
8 4 2
Direct
0.750 0.486 0.123
0.250 0.114 0.562
0.750 0.900 0.119
0.250 0.514 0.877
0.250 0.100 0.881
0.750 0.886 0.438
0.750 0.446 0.639
0.250 0.554 0.361
0.250 0.720 0.065
0.750 0.284 0.420
0.250 0.716 0.580
0.750 0.280 0.935
0.250 0.144 0.219
0.750 0.856 0.781
```